[1]
Cs4P2PdSe8 (PBE-GGA, optimized geometry); total energy = -3.91 eV per atom; symmetry = P-1
1.0
-0.029 -3.755 -6.285
2.775 -6.357 3.249
-9.198 -4.231 0.515
Se Cs P Pd
8 4 2 1
Cartesian
0.673 -6.362 1.929
-7.126 -7.980 -4.449
-4.119 -4.765 -0.329
1.268 -9.378 -1.171
-0.313 -6.733 -3.229
-2.333 -9.577 -2.192
-6.139 -7.609 0.709
-7.720 -4.964 -1.349
-0.456 -3.730 -0.647
-5.996 -10.612 -1.874
-3.841 -6.262 -3.678
-2.612 -8.080 1.157
-6.133 -5.483 0.195
-0.319 -8.859 -2.716
0.000 0.000 0.000

[2]
Cs4P2PdSe8 (PBE-GGA, optimized geometry); total energy = -3.91 eV per atom; symmetry = P2_1/c
1.0
-0.777 6.019 4.685
-13.584 0.196 -2.506
-1.502 -6.874 7.600
Cs Se P Pd
8 16 4 2
Cartesian
-4.094 -1.955 10.591
-11.769 1.296 -0.812
-9.355 3.022 2.905
-6.052 1.521 6.291
-9.811 -2.180 3.488
-2.520 -0.291 3.672
-13.343 -0.368 6.108
-6.508 -3.681 6.874
-7.677 -0.694 8.970
-13.770 -3.332 3.718
-10.172 -2.660 7.063
-12.760 4.295 1.613
-3.103 -4.954 8.166
-12.721 0.824 2.654
-8.186 0.035 0.809
-5.691 2.002 2.716
-12.883 3.536 5.213
-3.142 -1.483 7.125
-5.005 -0.718 0.254
-6.196 -1.462 3.657
-10.858 0.059 9.525
-9.667 0.803 6.123
-2.980 -4.195 4.566
-2.093 2.673 6.062
-9.616 -0.652 7.753
-13.430 2.850 3.110
-6.247 -0.006 2.026
-2.433 -3.509 6.669
-0.751 -3.437 3.800
-6.792 0.098 -1.253

Repeat the second record exactly.
Cs4P2PdSe8 (PBE-GGA, optimized geometry); total energy = -3.91 eV per atom; symmetry = P2_1/c
1.0
-0.777 6.019 4.685
-13.584 0.196 -2.506
-1.502 -6.874 7.600
Cs Se P Pd
8 16 4 2
Cartesian
-4.094 -1.955 10.591
-11.769 1.296 -0.812
-9.355 3.022 2.905
-6.052 1.521 6.291
-9.811 -2.180 3.488
-2.520 -0.291 3.672
-13.343 -0.368 6.108
-6.508 -3.681 6.874
-7.677 -0.694 8.970
-13.770 -3.332 3.718
-10.172 -2.660 7.063
-12.760 4.295 1.613
-3.103 -4.954 8.166
-12.721 0.824 2.654
-8.186 0.035 0.809
-5.691 2.002 2.716
-12.883 3.536 5.213
-3.142 -1.483 7.125
-5.005 -0.718 0.254
-6.196 -1.462 3.657
-10.858 0.059 9.525
-9.667 0.803 6.123
-2.980 -4.195 4.566
-2.093 2.673 6.062
-9.616 -0.652 7.753
-13.430 2.850 3.110
-6.247 -0.006 2.026
-2.433 -3.509 6.669
-0.751 -3.437 3.800
-6.792 0.098 -1.253

- Which value of total energy does entry 1 give?
  -3.91 eV per atom